# 1
The following is a PBE calculation of an optimized crystal structure of CeLuPaPb, from Alexandria via LeMat-Bulk.

a = 5.3510 Å, b = 5.3510 Å, c = 5.3510 Å
α = 60.00°, β = 60.00°, γ = 60.00°
With the nearest neighbours (Å) after each atom.
Fractional coordinates of all 4 atoms:
1 Pb 0.7500 0.7500 0.7500  4 Lu 3.28, 4 Pa 3.28
2 Lu 0.0000 0.0000 0.0000  4 Ce 3.28, 4 Pb 3.28
3 Ce 0.2500 0.2500 0.2500  4 Pa 3.28, 4 Lu 3.28
4 Pa 0.5000 0.5000 0.5000  4 Ce 3.28, 4 Pb 3.28

**SG**: F-43m
**VASP energy**: -5.736 eV/atom
**Crystal system**: cubic
**N(E_F)**: 10.99 states/eV/cell
**Theoretical density**: 11.546 g/cm3
**Calculated formation energy**: 0.72 eV per formula unit


# 2
The following is a PBE calculation of an optimized crystal structure of CeLuScPa, from Alexandria via LeMat-Bulk.

a = 5.3462 Å, b = 5.3462 Å, c = 5.3462 Å
α = 60.00°, β = 60.00°, γ = 60.00°
With the nearest neighbours (Å) after each atom.
Fractional coordinates of all 4 atoms:
1 Lu 0.7500 0.7500 0.7500  4 Ce 3.27, 4 Sc 3.27
2 Sc 0.0000 0.0000 0.0000  4 Lu 3.27, 4 Pa 3.27
3 Pa 0.2500 0.2500 0.2500  4 Sc 3.27, 4 Ce 3.27
4 Ce 0.5000 0.5000 0.5000  4 Pa 3.27, 4 Lu 3.27

**SG**: F-43m
**VASP energy**: -6.262 eV/atom
**Crystal system**: cubic
**N(E_F)**: 12.38 states/eV/cell
**Theoretical density**: 9.084 g/cm3
**Calculated formation energy**: 1.23 eV per formula unit


# 3
The following is a PBE calculation of an optimized crystal structure of CeSmLuPa, from Alexandria via LeMat-Bulk.

a = 5.5228 Å, b = 5.5228 Å, c = 5.5228 Å
α = 60.00°, β = 60.00°, γ = 60.00°
With the nearest neighbours (Å) after each atom.
Fractional coordinates of all 4 atoms:
1 Lu 0.0000 0.0000 0.0000  4 Ce 3.38, 4 Sm 3.38
2 Pa 0.5000 0.5000 0.5000  4 Ce 3.38, 4 Sm 3.38
3 Sm 0.7500 0.7500 0.7500  4 Pa 3.38, 4 Lu 3.38
4 Ce 0.2500 0.2500 0.2500  4 Pa 3.38, 4 Lu 3.38

**SG**: F-43m
**VASP energy**: -5.793 eV/atom
**Crystal system**: cubic
**N(E_F)**: 12.43 states/eV/cell
**Theoretical density**: 9.710 g/cm3
**Calculated formation energy**: 1.50 eV per formula unit


# 4
The following is a PBE calculation of an optimized crystal structure of CeLuPaSn, from Alexandria via LeMat-Bulk.

a = 5.2989 Å, b = 5.2989 Å, c = 5.2989 Å
α = 60.00°, β = 60.00°, γ = 60.00°
With the nearest neighbours (Å) after each atom.
Fractional coordinates of all 4 atoms:
1 Ce 0.2500 0.2500 0.2500  4 Sn 3.24, 4 Pa 3.24
2 Lu 0.7500 0.7500 0.7500  4 Pa 3.24, 4 Sn 3.24
3 Sn 0.5000 0.5000 0.5000  4 Ce 3.24, 4 Lu 3.24
4 Pa 0.0000 0.0000 0.0000  4 Ce 3.24, 4 Lu 3.24

**SG**: F-43m
**VASP energy**: -5.992 eV/atom
**Crystal system**: cubic
**N(E_F)**: 9.55 states/eV/cell
**Theoretical density**: 10.493 g/cm3
**Calculated formation energy**: -0.01 eV per formula unit


# 5
The following is a PBE calculation of an optimized crystal structure of CeTmLuPa, from Alexandria via LeMat-Bulk.

a = 5.4705 Å, b = 5.4705 Å, c = 5.4705 Å
α = 60.00°, β = 60.00°, γ = 60.00°
With the nearest neighbours (Å) after each atom.
Fractional coordinates of all 4 atoms:
1 Tm 0.2500 0.2500 0.2500  4 Pa 3.35, 4 Lu 3.35
2 Lu 0.0000 0.0000 0.0000  4 Tm 3.35, 4 Ce 3.35
3 Ce 0.7500 0.7500 0.7500  4 Pa 3.35, 4 Lu 3.35
4 Pa 0.5000 0.5000 0.5000  4 Ce 3.35, 4 Tm 3.35

**SG**: F-43m
**VASP energy**: -5.760 eV/atom
**Crystal system**: cubic
**N(E_F)**: 10.95 states/eV/cell
**Theoretical density**: 10.257 g/cm3
**Calculated formation energy**: 1.38 eV per formula unit


# 6
The following is a PBE calculation of an optimized crystal structure of CeLuZrPa, from Alexandria via LeMat-Bulk.

a = 5.2726 Å, b = 5.2726 Å, c = 5.2726 Å
α = 60.00°, β = 60.00°, γ = 60.00°
With the nearest neighbours (Å) after each atom.
Fractional coordinates of all 4 atoms:
1 Lu 0.0000 0.0000 0.0000  4 Zr 3.23, 4 Ce 3.23
2 Zr 0.2500 0.2500 0.2500  4 Pa 3.23, 4 Lu 3.23
3 Ce 0.7500 0.7500 0.7500  4 Pa 3.23, 4 Lu 3.23
4 Pa 0.5000 0.5000 0.5000  4 Zr 3.23, 4 Ce 3.23

**SG**: F-43m
**VASP energy**: -6.865 eV/atom
**Crystal system**: cubic
**N(E_F)**: 12.28 states/eV/cell
**Theoretical density**: 10.211 g/cm3
**Calculated formation energy**: 1.04 eV per formula unit


# 7
The following is a PBE calculation of an optimized crystal structure of CeLuPb2, from Alexandria via LeMat-Bulk.

a = 4.0582 Å, b = 4.0582 Å, c = 6.9535 Å
α = 90.00°, β = 90.00°, γ = 90.00°
With the nearest neighbours (Å) after each atom.
Fractional coordinates of all 4 atoms:
1 Pb 0.0000 0.0000 0.2343  1 Pb 3.26, 4 Lu 3.30, 4 Ce 3.41
2 Pb 0.0000 0.0000 0.7657  1 Pb 3.26, 4 Lu 3.30, 4 Ce 3.41
3 Lu 0.5000 0.5000 0.0000  8 Pb 3.30, 2 Ce 3.48
4 Ce 0.5000 0.5000 0.5000  8 Pb 3.41, 2 Lu 3.48

**Polymorph energy (0 for the lowest one)**: 0.027 eV per atom
**SG**: P4/mmm
**VASP energy**: -4.813 eV/atom
**Crystal system**: tetragonal
**N(E_F)**: 7.87 states/eV/cell
**Theoretical density**: 10.578 g/cm3
**Calculated formation energy**: -1.38 eV per formula unit


# 8
The following is a PBE calculation of an optimized crystal structure of CeLuPb2, from Alexandria via LeMat-Bulk.

a = 5.0768 Å, b = 5.0768 Å, c = 6.1148 Å
α = 65.47°, β = 65.47°, γ = 60.00°
With the nearest neighbours (Å) after each atom.
Fractional coordinates of all 4 atoms:
1 Ce 0.0000 0.0000 0.0000  6 Pb 3.27
2 Lu 0.5000 0.5000 0.5000  6 Pb 3.18
3 Pb 0.2437 0.2437 0.2689  3 Lu 3.18, 3 Ce 3.27
4 Pb 0.7563 0.7563 0.7311  3 Lu 3.18, 3 Ce 3.27

**Polymorph energy (0 for the lowest one)**: 0.021 eV per atom
**SG**: R-3m
**VASP energy**: -4.819 eV/atom
**Crystal system**: trigonal
**N(E_F)**: 7.40 states/eV/cell
**Theoretical density**: 10.113 g/cm3
**Calculated formation energy**: -1.40 eV per formula unit


# 9
The following is a PBE calculation of an optimized crystal structure of CeLuPb2, from Alexandria via LeMat-Bulk.

a = 4.4829 Å, b = 5.0397 Å, c = 5.0397 Å
α = 90.00°, β = 90.00°, γ = 90.00°
With the nearest neighbours (Å) after each atom.
Fractional coordinates of all 4 atoms:
1 Lu 0.5000 0.5000 0.5000  8 Pb 3.37, 4 Ce 3.56
2 Ce 0.5000 0.0000 0.0000  8 Pb 3.37, 4 Lu 3.56
3 Pb 0.0000 0.5000 0.0000  4 Lu 3.37, 4 Ce 3.37, 4 Pb 3.56
4 Pb 0.0000 0.0000 0.5000  4 Lu 3.37, 4 Ce 3.37, 4 Pb 3.56

**Polymorph energy (0 for the lowest one)**: 0.000 eV per atom
**SG**: P4/mmm
**VASP energy**: -4.840 eV/atom
**Crystal system**: tetragonal
**N(E_F)**: 8.14 states/eV/cell
**Theoretical density**: 10.639 g/cm3
**Calculated formation energy**: -1.49 eV per formula unit


# 10
The following is a PBE calculation of an optimized crystal structure of CeLuPb, from Alexandria via LeMat-Bulk.

a = 3.6360 Å, b = 5.3481 Å, c = 5.3481 Å
α = 120.00°, β = 90.00°, γ = 90.00°
With the nearest neighbours (Å) after each atom.
Fractional coordinates of all 3 atoms:
1 Lu 0.8713 0.0000 0.0000  3 Pb 3.11
2 Pb 0.7801 0.6667 0.3333  3 Lu 3.11, 3 Ce 3.46
3 Ce 0.3486 0.3333 0.6667  6 Pb 3.46-3.72, 6 Lu 3.54-3.63, 2 Ce 3.64

**Polymorph energy (0 for the lowest one)**: 0.050 eV per atom
**SG**: P3m1
**VASP energy**: -4.858 eV/atom
**Crystal system**: trigonal
**N(E_F)**: 7.32 states/eV/cell
**Theoretical density**: 9.629 g/cm3
**Calculated formation energy**: -0.41 eV per formula unit


# 11
The following is a PBE calculation of an optimized crystal structure of CeLuPb, from Alexandria via LeMat-Bulk.

a = 3.5332 Å, b = 3.5332 Å, c = 7.5456 Å
α = 103.54°, β = 103.54°, γ = 90.00°
With the nearest neighbours (Å) after each atom.
Fractional coordinates of all 3 atoms:
1 Ce 0.2888 0.2888 0.5776  4 Pb 3.43, 4 Ce 3.53, 4 Lu 3.59
2 Lu 0.6074 0.6074 0.2149  4 Pb 3.32, 4 Lu 3.53, 4 Ce 3.59
3 Pb 0.9538 0.9538 0.9075  4 Lu 3.32, 4 Ce 3.43, 4 Pb 3.53

**Polymorph energy (0 for the lowest one)**: 0.000 eV per atom
**SG**: I4mm
**VASP energy**: -4.909 eV/atom
**Crystal system**: tetragonal
**N(E_F)**: 5.57 states/eV/cell
**Theoretical density**: 9.758 g/cm3
**Calculated formation energy**: -0.56 eV per formula unit


# 12
The following is a PBE calculation of an optimized crystal structure of CeLuPb2, from Alexandria via LeMat-Bulk.

a = 5.4629 Å, b = 5.4629 Å, c = 5.4629 Å
α = 60.00°, β = 60.00°, γ = 60.00°
With the nearest neighbours (Å) after each atom.
Fractional coordinates of all 4 atoms:
1 Pb 0.2500 0.2500 0.2500  4 Lu 3.35, 4 Ce 3.35
2 Pb 0.7500 0.7500 0.7500  4 Ce 3.35, 4 Lu 3.35
3 Lu 0.0000 0.0000 0.0000  8 Pb 3.35
4 Ce 0.5000 0.5000 0.5000  8 Pb 3.35

**Polymorph energy (0 for the lowest one)**: 0.055 eV per atom
**SG**: Fm-3m
**VASP energy**: -4.785 eV/atom
**Crystal system**: cubic
**N(E_F)**: 8.22 states/eV/cell
**Theoretical density**: 10.508 g/cm3
**Calculated formation energy**: -1.27 eV per formula unit


# 13
The following is a PBE calculation of an optimized crystal structure of CeLuPdPb, from Alexandria via LeMat-Bulk.

a = 5.2445 Å, b = 5.2445 Å, c = 5.2445 Å
α = 60.00°, β = 60.00°, γ = 60.00°
With the nearest neighbours (Å) after each atom.
Fractional coordinates of all 4 atoms:
1 Ce 0.2500 0.2500 0.2500  4 Pb 3.21, 4 Pd 3.21
2 Pb 0.5000 0.5000 0.5000  4 Lu 3.21, 4 Ce 3.21
3 Lu 0.7500 0.7500 0.7500  4 Pb 3.21, 4 Pd 3.21
4 Pd 0.0000 0.0000 0.0000  4 Ce 3.21, 4 Lu 3.21

**SG**: F-43m
**VASP energy**: -5.328 eV/atom
**Crystal system**: cubic
**N(E_F)**: 8.86 states/eV/cell
**Theoretical density**: 10.235 g/cm3
**Calculated formation energy**: -1.96 eV per formula unit


# 14
The following is a PBE calculation of an optimized crystal structure of CePmLuPb, from Alexandria via LeMat-Bulk.

a = 5.4584 Å, b = 5.4584 Å, c = 5.4584 Å
α = 60.00°, β = 60.00°, γ = 60.00°
With the nearest neighbours (Å) after each atom.
Fractional coordinates of all 4 atoms:
1 Lu 0.0000 0.0000 0.0000  4 Ce 3.34, 4 Pb 3.34
2 Ce 0.2500 0.2500 0.2500  4 Pm 3.34, 4 Lu 3.34
3 Pm 0.5000 0.5000 0.5000  4 Pb 3.34, 4 Ce 3.34
4 Pb 0.7500 0.7500 0.7500  4 Pm 3.34, 4 Lu 3.34

**SG**: F-43m
**VASP energy**: -4.770 eV/atom
**Crystal system**: cubic
**N(E_F)**: 7.89 states/eV/cell
**Theoretical density**: 9.636 g/cm3
**Calculated formation energy**: -0.16 eV per formula unit


# 15
The following is a PBE calculation of an optimized crystal structure of CePrLuPb, from Alexandria via LeMat-Bulk.

a = 5.4948 Å, b = 5.4948 Å, c = 5.4948 Å
α = 60.00°, β = 60.00°, γ = 60.00°
With the nearest neighbours (Å) after each atom.
Fractional coordinates of all 4 atoms:
1 Pr 0.5000 0.5000 0.5000  4 Pb 3.36, 4 Ce 3.36
2 Lu 0.0000 0.0000 0.0000  4 Pb 3.36, 4 Ce 3.36
3 Pb 0.7500 0.7500 0.7500  4 Lu 3.36, 4 Pr 3.36
4 Ce 0.2500 0.2500 0.2500  4 Pr 3.36, 4 Lu 3.36

**SG**: F-43m
**VASP energy**: -4.777 eV/atom
**Crystal system**: cubic
**N(E_F)**: 7.11 states/eV/cell
**Theoretical density**: 9.387 g/cm3
**Calculated formation energy**: -0.17 eV per formula unit